Entry 1:
A relaxed LiTeN3 crystal, computed with PBE.

The total magnetization comes out at 0.00 μB/atom. The volume is 62.1 Å³/f.u. For the density of states at the Fermi level, the calculation gives 2.94 states/eV per cell. The calculation puts the formation energy from raw total energies at 1.37 eV per atom. The raw total energy is -23.175 eV/cell.

It has space group Pm-3m (No. 221), with a = 3.9597 Å, b = 3.9597 Å, c = 3.9597 Å, α = 90.00°, β = 90.00° and γ = 90.00°. The inequivalent atoms are Li at (0.0000, 0.0000, 0.0000), Te at (0.5000, 0.5000, 0.5000) and N at (0.0000, 0.5000, 0.5000).

=====

Entry 2:
A relaxed LiTe2N crystal, computed with PBE.

The total magnetization comes out at 0.00 μB/atom. The volume is 113.8 Å³/f.u. For the density of states at the Fermi level, the calculation gives 7.33 states/eV per cell. The calculation puts the formation energy from raw total energies at 0.39 eV per atom. The raw total energy is -44.906 eV/cell.

It has space group R-3m (No. 166, hexagonal axes), with a = 4.5282 Å, b = 4.5282 Å, c = 19.2336 Å, α = 90.00°, β = 90.00° and γ = 120.00°. The inequivalent atoms are Li at (0.0000, 0.0000, 0.0000), Te at (0.0000, 0.0000, 0.3996) and N at (0.0000, 0.0000, 0.5000).